Here is an optimized crystal structure of V2CuAgF from Alexandria via LeMat-Bulk. Energies are from PBE+U.

Values from the calculation:
Space group: No. 123
E, eV/atom: -3.703

a b c (Å): 5.214 4.650 5.214
angles (deg): 90.00 90.00 90.00
Each line ends with the local moment (μB).
Fractional coordinates of all 5 atoms:
V 0.000 0.000 0.500  2.82
V 0.500 0.000 0.000  3.02
F 0.500 0.500 0.500  -0.03
Ag 0.000 0.000 0.000  0.06
Cu 0.000 0.500 0.000  0.02